No. 1
Material: LiPr2Co3H12
Method: DFT, GGA-PBE
State: relaxed

Lattice parameters (Å, degrees): 5.8025 5.8025 5.8025 61.67 61.67 61.67
Last column: nearest neighbours and their distance in Å.
Sites, in units of the cell vectors:
Li: 0.0000 0.0000 0.0000  6 H 1.84
Pr: 0.3807 0.3807 0.3807  3 H 2.28
Pr: 0.6193 0.6193 0.6193  3 H 2.28
Co: 0.0000 0.0000 0.5000  6 H 1.56-1.62
Co: 0.0000 0.5000 0.0000  6 H 1.56-1.62
Co: 0.5000 0.0000 0.0000  6 H 1.56-1.62
H: 0.1062 0.1062 0.6214  1 Co 1.56
H: 0.1062 0.6214 0.1062  1 Co 1.56
H: 0.1230 0.6888 0.6888  2 Co 1.62
H: 0.3112 0.3112 0.8770  2 Co 1.62
H: 0.3112 0.8770 0.3112  2 Co 1.62
H: 0.3786 0.8938 0.8938  1 Co 1.56
H: 0.6214 0.1062 0.1062  1 Co 1.56
H: 0.6888 0.1230 0.6888  2 Co 1.62
H: 0.6888 0.6888 0.1230  2 Co 1.62
H: 0.8770 0.3112 0.3112  2 Co 1.62
H: 0.8938 0.3786 0.8938  1 Co 1.56
H: 0.8938 0.8938 0.3786  1 Co 1.56

## Properties
The density is 5.5 g/cm3. The calculation puts the total DFT energy (no corrections) at -4.317 eV per atom. The density of states at the Fermi level is 0.28 states/eV per atom.

No. 2
Material: LiPr2CoH6
Method: DFT, GGA-PBE
State: relaxed

Lattice parameters (Å, degrees): 5.0545 5.0545 4.6839 90.00 90.00 120.00
Last column: nearest neighbours and their distance in Å.
Sites, in units of the cell vectors:
Li: 0.0000 0.0000 0.0000  6 H 1.92
Pr: 0.3333 0.6667 0.7374  9 H 2.53-2.62
Pr: 0.6667 0.3333 0.2626  9 H 2.53-2.62
Co: 0.0000 0.0000 0.5000  6 H 1.69
H: 0.1556 0.3112 0.2877  1 Co 1.69
H: 0.1556 0.8444 0.2877  1 Co 1.69
H: 0.3112 0.1556 0.7123  1 Co 1.69
H: 0.6888 0.8444 0.2877  1 Co 1.69
H: 0.8444 0.1556 0.7123  1 Co 1.69
H: 0.8444 0.6888 0.7123  1 Co 1.69

## Properties
The density is 5.7 g/cm3. The calculation puts the total DFT energy (no corrections) at -4.254 eV per atom. The density of states at the Fermi level is 0.25 states/eV per atom.

No. 3
Material: Li2PrCoH8
Method: DFT, GGA-PBE
State: relaxed

Lattice parameters (Å, degrees): 4.3502 4.3502 6.0183 90.00 90.00 120.00
Last column: nearest neighbours and their distance in Å.
Sites, in units of the cell vectors:
Li: 0.3333 0.6667 0.3916  10 H 2.01-2.19
Li: 0.6667 0.3333 0.6084  10 H 2.01-2.19
Pr: 0.0000 0.0000 0.0000  12 H 2.44-2.53
Co: 0.0000 0.0000 0.5000  6 H 1.53
H: 0.1642 0.3284 0.6497  1 Co 1.53
H: 0.1642 0.8358 0.6497  1 Co 1.53
H: 0.3284 0.1642 0.3503  1 Co 1.53
H: 0.3333 0.6667 0.0511  1 Li 2.05
H: 0.6667 0.3333 0.9489  1 Li 2.05
H: 0.6716 0.8358 0.6497  1 Co 1.53
H: 0.8358 0.1642 0.3503  1 Co 1.53
H: 0.8358 0.6716 0.3503  1 Co 1.53

## Properties
The density is 3.7 g/cm3. The calculation puts the total DFT energy (no corrections) at -3.950 eV per atom.

No. 4
Material: LiCoHPt2
Method: DFT, GGA-PBE
State: relaxed

Lattice parameters (Å, degrees): 3.9840 3.9840 3.6054 90.00 90.00 90.00
Last column: nearest neighbours and their distance in Å.
Sites, in units of the cell vectors:
Li: 0.0000 0.0000 0.0000  8 Pt 2.69, 4 Co 2.82
Co: 0.5000 0.5000 0.0000  2 H 1.80
H: 0.5000 0.5000 0.5000  2 Co 1.80, 4 Pt 1.99
Pt: 0.0000 0.5000 0.5000  2 H 1.99
Pt: 0.5000 0.0000 0.5000  2 H 1.99

## Properties
The density is 13.3 g/cm3. The calculation puts the total DFT energy (no corrections) at -5.035 eV per atom. The density of states at the Fermi level is 1.05 states/eV per atom.

No. 5
Material: Li2CoH6Pt
Method: DFT, GGA-PBE
State: relaxed

Lattice parameters (Å, degrees): 4.7418 4.7418 4.7243 119.55 119.55 90.69
Last column: nearest neighbours and their distance in Å.
Sites, in units of the cell vectors:
Li: 0.2497 0.7503 0.0000  12 H 2.36-2.40
Li: 0.7503 0.2497 0.0000  12 H 2.36-2.40
Co: 0.0000 0.0000 0.5000  6 H 1.61-1.62
H: 0.2403 0.7597 0.5000  1 Co 1.62, 1 Pt 1.75
H: 0.2427 0.2427 0.9810  1 Co 1.62, 1 Pt 1.75
H: 0.2446 0.2446 0.5061  1 Co 1.61, 1 Pt 1.72
H: 0.7554 0.7554 0.4939  1 Co 1.61, 1 Pt 1.72
H: 0.7573 0.7573 0.0190  1 Co 1.62, 1 Pt 1.75
H: 0.7597 0.2403 0.5000  1 Co 1.62, 1 Pt 1.75
Pt: 0.5000 0.5000 0.5000  6 H 1.72-1.75

## Properties
The density is 6.0 g/cm3. The calculation puts the total DFT energy (no corrections) at -3.962 eV per atom. The density of states at the Fermi level is 0.33 states/eV per atom.

No. 6
Material: LiPu2CoH6
Method: DFT, GGA-PBE
State: relaxed

Lattice parameters (Å, degrees): 4.9681 4.9681 4.4413 90.00 90.00 120.00
Last column: nearest neighbours and their distance in Å.
Sites, in units of the cell vectors:
Li: 0.0000 0.0000 0.0000  6 H 1.90
Pu: 0.3333 0.6667 0.2543  9 H 2.49-2.51
Pu: 0.6667 0.3333 0.7457  9 H 2.49-2.51
Co: 0.0000 0.0000 0.5000  6 H 1.71
H: 0.1648 0.3297 0.7152  1 Co 1.71, 1 Li 1.90
H: 0.1648 0.8352 0.7152  1 Co 1.71, 1 Li 1.90
H: 0.3297 0.1648 0.2848  1 Co 1.71, 1 Li 1.90
H: 0.6703 0.8352 0.7152  1 Co 1.71, 1 Li 1.90
H: 0.8352 0.1648 0.2848  1 Co 1.71, 1 Li 1.90
H: 0.8352 0.6703 0.2848  1 Co 1.71, 1 Li 1.90

## Properties
The density is 9.8 g/cm3. The calculation puts the total DFT energy (no corrections) at -6.055 eV per atom. The density of states at the Fermi level is 1.57 states/eV per atom.

No. 7
Material: Rb2LiCoH6
Method: DFT, GGA-PBE
State: relaxed

Lattice parameters (Å, degrees): 5.8365 5.8365 4.7272 90.00 90.00 120.00
Last column: nearest neighbours and their distance in Å.
Sites, in units of the cell vectors:
Rb: 0.3333 0.6667 0.2451  9 H 2.93-2.96
Rb: 0.6667 0.3333 0.7549  9 H 2.93-2.96
Li: 0.0000 0.0000 0.5000  6 H 1.95
Co: 0.0000 0.0000 0.0000  6 H 1.57
H: 0.1269 0.2538 0.8095  1 Co 1.57
H: 0.1269 0.8731 0.8095  1 Co 1.57
H: 0.2538 0.1269 0.1905  1 Co 1.57
H: 0.7462 0.8731 0.8095  1 Co 1.57
H: 0.8731 0.1269 0.1905  1 Co 1.57
H: 0.8731 0.7462 0.1905  1 Co 1.57

## Properties
The density is 2.9 g/cm3. The calculation puts the total DFT energy (no corrections) at -3.407 eV per atom. The density of states at the Fermi level is 0.00 states/eV per atom.

No. 8
Material: Li2CoHRh
Method: DFT, GGA-PBE
State: relaxed

Lattice parameters (Å, degrees): 3.6484 3.6484 3.9125 90.00 90.00 90.00
Last column: nearest neighbours and their distance in Å.
Sites, in units of the cell vectors:
Li: 0.0000 0.5000 0.0000  2 H 1.82
Li: 0.5000 0.0000 0.0000  2 H 1.82
Co: 0.0000 0.0000 0.5000  4 Rh 2.58, 8 Li 2.67
H: 0.5000 0.5000 0.0000  4 Li 1.82, 2 Rh 1.96
Rh: 0.5000 0.5000 0.5000  2 H 1.96

## Properties
The density is 5.6 g/cm3. The calculation puts the total DFT energy (no corrections) at -4.354 eV per atom. The density of states at the Fermi level is 0.84 states/eV per atom.

No. 9
Material: Li2CoHRh
Method: DFT, GGA-PBE
State: relaxed

Lattice parameters (Å, degrees): 3.6588 3.6588 3.7716 90.00 90.00 90.00
Last column: nearest neighbours and their distance in Å.
Sites, in units of the cell vectors:
Li: 0.0000 0.5000 0.0000  2 H 1.83
Li: 0.5000 0.0000 0.0000  2 H 1.83
Co: 0.0000 0.0000 0.5000  2 H 1.89
H: 0.0000 0.0000 0.0000  4 Li 1.83, 2 Co 1.89
Rh: 0.5000 0.5000 0.5000  4 Co 2.59, 8 Li 2.63

## Properties
The density is 5.8 g/cm3. The calculation puts the total DFT energy (no corrections) at -4.298 eV per atom. The density of states at the Fermi level is 0.88 states/eV per atom.

No. 10
Material: LiCo2HRu
Method: DFT, GGA-PBE
State: relaxed

Lattice parameters (Å, degrees): 4.6425 4.6425 3.2421 90.00 90.00 90.00
Last column: nearest neighbours and their distance in Å.
Sites, in units of the cell vectors:
Li: 0.0000 0.0000 0.0000  8 Co 2.83
Co: 0.0000 0.5000 0.5000  2 Ru 2.32
Co: 0.5000 0.0000 0.5000  2 Ru 2.32
H: 0.5000 0.5000 0.0000  2 Ru 1.62
Ru: 0.5000 0.5000 0.5000  2 H 1.62

## Properties
The density is 5.4 g/cm3. The calculation puts the total DFT energy (no corrections) at -4.901 eV per atom. The density of states at the Fermi level is 1.35 states/eV per atom.

No. 11
Material: Li2ScCoH
Method: DFT, GGA-PBE
State: relaxed

Lattice parameters (Å, degrees): 4.6656 4.6656 3.1699 90.00 90.00 90.00
Last column: nearest neighbours and their distance in Å.
Sites, in units of the cell vectors:
Li: 0.0000 0.5000 0.0000  2 Co 2.33
Li: 0.5000 0.0000 0.0000  2 Co 2.33
Sc: 0.0000 0.0000 0.5000  8 Li 2.82
Co: 0.5000 0.5000 0.0000  2 H 1.58
H: 0.5000 0.5000 0.5000  2 Co 1.58

## Properties
The density is 2.9 g/cm3. The calculation puts the total DFT energy (no corrections) at -3.685 eV per atom. The density of states at the Fermi level is 0.92 states/eV per atom.

No. 12
Material: Li2ScCoH8
Method: DFT, GGA-PBE
State: relaxed

Lattice parameters (Å, degrees): 4.1877 4.1877 5.4247 90.00 90.00 120.00
Last column: nearest neighbours and their distance in Å.
Sites, in units of the cell vectors:
Li: 0.3333 0.6667 0.3683  4 H 1.86-2.03
Li: 0.6667 0.3333 0.6317  4 H 1.86-2.03
Sc: 0.0000 0.0000 0.0000  12 H 2.17-2.42
Co: 0.0000 0.0000 0.5000  6 H 1.52
H: 0.1677 0.3353 0.6695  1 Co 1.52
H: 0.1677 0.8323 0.6695  1 Co 1.52
H: 0.3333 0.6667 0.0254  1 Li 1.86
H: 0.3353 0.1677 0.3305  1 Co 1.52
H: 0.6647 0.8323 0.6695  1 Co 1.52
H: 0.6667 0.3333 0.9746  1 Li 1.86
H: 0.8323 0.1677 0.3305  1 Co 1.52
H: 0.8323 0.6647 0.3305  1 Co 1.52

## Properties
The density is 2.5 g/cm3. The calculation puts the total DFT energy (no corrections) at -3.996 eV per atom. The density of states at the Fermi level is 0.00 states/eV per atom.

Q: The lowest total DFT energy (no corrections) belongs to which entry?
A: LiPu2CoH6

Q: Among the records above, which one has the lowest total DFT energy (no corrections)?
A: LiPu2CoH6

Q: What is the total DFT energy (no corrections) in the fifth record?
A: -3.962 eV per atom